Compound: HgAs2
Source: the Alexandria database
Functional: SCAN
Structure: single point on PBEsol structure

Cell: 8.5791 8.5791 3.5309 Å, 90.00 90.00 120.00°
Fractional positions:
Hg 0.0000 0.0000 0.0000
Hg 0.3333 0.6667 0.5000
Hg 0.6667 0.3333 0.5000
As 0.0000 0.4465 0.0000
As 0.0000 0.6504 0.5000
As 0.3496 0.3496 0.5000
As 0.4465 0.0000 0.0000
As 0.5535 0.5535 0.0000
As 0.6504 0.0000 0.5000

DOS at the Fermi energy = 1.670 states/eV/f.u.
ρ = 7.76 Mg/m³
ΔH_f (0 K) = 0.300 eV/atom
M_tot = 0.00 Bohr magnetons per cell



Compound: LaInPb2
Source: the Alexandria database
Functional: SCAN
Structure: single point on PBEsol structure

Cell: 10.7744 10.7744 10.7744 Å, 19.12 19.12 19.12°
Fractional positions:
La 0.0000 0.0000 0.0000
In 0.7509 0.7509 0.7509
Pb 0.2456 0.2456 0.2456
Pb 0.4958 0.4958 0.4958

DOS at the Fermi energy = 2.701 states/eV/f.u.
ρ = 9.46 Mg/m³
ΔH_f (0 K) = -0.167 eV/atom
M_tot = 0.00 Bohr magnetons per cell



Compound: ZnPt2Rh
Source: the Alexandria database
Functional: SCAN
Structure: single point on PBEsol structure

Cell: 4.7009 4.7009 4.7009 Å, 131.76 131.76 70.60°
Fractional positions:
Zn 0.0000 0.0000 0.0000
Pt 0.2500 0.7500 0.5000
Pt 0.7500 0.2500 0.5000
Rh 0.5000 0.5000 0.0000

DOS at the Fermi energy = 2.985 states/eV/f.u.
ρ = 16.38 Mg/m³
ΔH_f (0 K) = -0.291 eV/atom
M_tot = 1.10 Bohr magnetons per cell



Compound: Si2BrCl
Source: the Alexandria database
Functional: SCAN
Structure: single point on PBEsol structure

Cell: 3.2534 4.3625 5.5238 Å, 90.00 90.00 90.00°
Fractional positions:
Si 0.0000 0.0000 0.0000
Si 0.5000 0.0000 0.5000
Br 0.0000 0.5000 0.5000
Cl 0.5000 0.5000 0.0000

DOS at the Fermi energy = 1.151 states/eV/f.u.
ρ = 3.63 Mg/m³
Energy relative to the elements, uncorrected = 0.488 eV per atom
M_tot = 0.00 Bohr magnetons per cell



Compound: YTl2Se
Source: the Alexandria database
Functional: SCAN
Structure: single point on PBEsol structure

Cell: 6.1260 6.1260 6.1260 Å, 144.38 128.30 64.36°
Fractional positions:
Y 0.0000 0.0000 0.0000
Tl 0.4567 0.4567 0.0000
Tl 0.7328 0.2328 0.5000
Se 0.1985 0.6985 0.5000

DOS at the Fermi energy = 2.009 states/eV/f.u.
ρ = 9.23 Mg/m³
Excess energy over the best structure of this formula in the dataset = 0.026 eV per atom
Energy relative to the elements, uncorrected = -0.656 eV per atom
M_tot = 0.00 Bohr magnetons per cell



Compound: NiAsP2
Source: the Alexandria database
Functional: SCAN
Structure: single point on PBEsol structure

Cell: 2.5918 2.5918 8.8542 Å, 90.00 90.00 90.00°
Fractional positions:
Ni 0.0000 0.0000 0.0000
As 0.5000 0.5000 0.7787
P 0.0000 0.0000 0.4623
P 0.5000 0.5000 0.1648

DOS at the Fermi energy = 2.119 states/eV/f.u.
ρ = 5.46 Mg/m³
ΔH_f (0 K) = 0.339 eV/atom
M_tot = 0.00 Bohr magnetons per cell



- The highest DOS at the Fermi energy belongs to which entry?
  ZnPt2Rh



- Number 1 is which compound?
  HgAs2